# Pm2Sm3Er6Pu PBE relaxed
data_Pm2Sm3Er6Pu
_chemical_formula_sum 'Pm2 Sm3 Er6 Pu1'
_space_group_name_H-M_alt 'P 1'
_space_group_IT_number 1
_cell_length_a 6.164
_cell_length_b 6.164
_cell_length_c 11.672
_cell_angle_alpha 95.06
_cell_angle_beta 95.06
_cell_angle_gamma 120.02
loop_
_space_group_symop_operation_xyz
'x,y,z'
loop_
_atom_site_label
_atom_site_type_symbol
_atom_site_fract_x
_atom_site_fract_y
_atom_site_fract_z
Sm1 Sm 0.167 0.833 0.500
Sm2 Sm 0.833 0.167 0.500
Sm3 Sm 0.500 0.500 0.500
Pm1 Pm 0.667 0.333 0.000
Pm2 Pm 0.333 0.667 0.000
Er1 Er 0.083 0.411 0.248
Er2 Er 0.411 0.083 0.248
Er3 Er 0.754 0.754 0.248
Er4 Er 0.589 0.917 0.752
Er5 Er 0.246 0.246 0.752
Er6 Er 0.917 0.589 0.752
Pu1 Pu 0.000 0.000 0.000
# total energy: -64.85 eV per cell
# total moment: 6.4 μB per formula unit
# symmetry: No. 12
# formation energy: 50 kJ/mol of formula units
# V: 377.97 Å³/cell